Density functional theory data (PBE) for a geometry-optimized Tb5Sm2Dy6 structure.

Properties
- density (Mg/m³) = 8.1
- total magnetization (μB per formula unit) = 0.00
- space-group type = No. 55
- energy of formation from the pure elements (meV/atom) = 96.9

a = 3.582 Å, b = 11.664 Å, c = 20.264 Å
α = 90.00°, β = 90.00°, γ = 90.00°
Atoms (fractional coordinates):
Tb (0.500, 0.301, 0.449)
Tb (0.500, 0.699, 0.551)
Tb (0.500, 0.801, 0.051)
Tb (0.500, 0.199, 0.949)
Tb (0.500, 0.589, 0.275)
Tb (0.500, 0.411, 0.725)
Tb (0.500, 0.089, 0.225)
Tb (0.500, 0.911, 0.775)
Tb (0.500, 0.500, 0.000)
Tb (0.500, 0.000, 0.500)
Sm (0.000, 0.331, 0.287)
Sm (0.000, 0.669, 0.713)
Sm (0.000, 0.831, 0.213)
Sm (0.000, 0.169, 0.787)
Dy (0.000, 0.080, 0.368)
Dy (0.000, 0.920, 0.632)
Dy (0.000, 0.580, 0.132)
Dy (0.000, 0.420, 0.868)
Dy (0.500, 0.324, 0.132)
Dy (0.500, 0.676, 0.868)
Dy (0.500, 0.824, 0.368)
Dy (0.500, 0.176, 0.632)
Dy (0.000, 0.559, 0.421)
Dy (0.000, 0.441, 0.579)
Dy (0.000, 0.059, 0.079)
Dy (0.000, 0.941, 0.921)



Density functional theory data (PBE) for a geometry-optimized Tb4Sm5Dy2 structure.

Properties
- density (Mg/m³) = 7.6
- total magnetization (μB per formula unit) = 0.00
- ΔE to the lowest computed polymorph (eV/atom) = 0.071
- space-group type = No. 71
- energy of formation from the pure elements (meV/atom) = 216.9

a = 3.516 Å, b = 9.145 Å, c = 12.674 Å
α = 111.15°, β = 97.97°, γ = 90.00°
Atoms (fractional coordinates):
Tb (0.000, 0.308, 0.000)
Tb (0.597, 0.597, 0.194)
Tb (0.000, 0.692, 0.000)
Tb (0.403, 0.403, 0.806)
Sm (0.853, 0.054, 0.706)
Sm (0.853, 0.652, 0.706)
Sm (0.147, 0.348, 0.294)
Sm (0.147, 0.946, 0.294)
Sm (0.500, 0.000, 0.000)
Dy (0.269, 0.269, 0.539)
Dy (0.731, 0.731, 0.461)



Density functional theory data (PBE) for a geometry-optimized Tb15Sm2Dy2 structure.

Properties
- density (Mg/m³) = 7.8
- total magnetization (μB per formula unit) = 0.00
- space-group type = No. 166
- energy of formation from the pure elements (meV/atom) = 278.6

a = 8.744 Å, b = 8.744 Å, c = 8.744 Å
α = 79.49°, β = 79.49°, γ = 79.49°
Atoms (fractional coordinates):
Tb (0.000, 0.000, 0.500)
Tb (0.500, 0.000, 0.000)
Tb (0.000, 0.500, 0.000)
Tb (0.297, 0.703, 0.000)
Tb (0.000, 0.297, 0.703)
Tb (0.703, 0.000, 0.297)
Tb (0.000, 0.703, 0.297)
Tb (0.297, 0.000, 0.703)
Tb (0.703, 0.297, 0.000)
Tb (0.628, 0.628, 0.150)
Tb (0.150, 0.628, 0.628)
Tb (0.628, 0.150, 0.628)
Tb (0.372, 0.372, 0.850)
Tb (0.850, 0.372, 0.372)
Tb (0.372, 0.850, 0.372)
Sm (0.323, 0.323, 0.323)
Sm (0.677, 0.677, 0.677)
Dy (0.095, 0.095, 0.095)
Dy (0.905, 0.905, 0.905)



Density functional theory data (PBE) for a geometry-optimized Tb6Sm12Dy structure.

Properties
- density (Mg/m³) = 7.6
- total magnetization (μB per formula unit) = 0.00
- ΔE to the lowest computed polymorph (eV/atom) = 0.000
- space-group type = No. 148
- energy of formation from the pure elements (meV/atom) = 141.3

a = 8.625 Å, b = 8.625 Å, c = 8.625 Å
α = 88.91°, β = 88.91°, γ = 88.91°
Atoms (fractional coordinates):
Tb (0.740, 0.903, 0.301)
Tb (0.699, 0.260, 0.097)
Tb (0.097, 0.699, 0.260)
Tb (0.260, 0.097, 0.699)
Tb (0.301, 0.740, 0.903)
Tb (0.903, 0.301, 0.740)
Sm (0.779, 0.538, 0.434)
Sm (0.434, 0.779, 0.538)
Sm (0.538, 0.434, 0.779)
Sm (0.221, 0.462, 0.566)
Sm (0.566, 0.221, 0.462)
Sm (0.462, 0.566, 0.221)
Sm (0.016, 0.197, 0.360)
Sm (0.803, 0.640, 0.984)
Sm (0.640, 0.984, 0.803)
Sm (0.984, 0.803, 0.640)
Sm (0.197, 0.360, 0.016)
Sm (0.360, 0.016, 0.197)
Dy (0.000, 0.000, 0.000)



Density functional theory data (PBE) for a geometry-optimized Tb6SmDy5 structure.

Properties
- density (Mg/m³) = 8.3
- total magnetization (μB per formula unit) = 0.00
- space-group type = No. 12
- energy of formation from the pure elements (meV/atom) = 14.2

a = 6.162 Å, b = 6.158 Å, c = 11.794 Å
α = 85.03°, β = 80.03°, γ = 59.98°
Atoms (fractional coordinates):
Tb (0.583, 0.334, 0.251)
Tb (0.083, 0.334, 0.749)
Tb (0.749, 0.000, 0.749)
Tb (0.251, 0.000, 0.251)
Tb (0.917, 0.666, 0.251)
Tb (0.417, 0.666, 0.749)
Sm (0.000, 0.000, 0.000)
Dy (0.167, 0.666, 0.500)
Dy (0.333, 0.333, 0.000)
Dy (0.500, 0.000, 0.500)
Dy (0.667, 0.667, 0.000)
Dy (0.833, 0.334, 0.500)



Density functional theory data (PBE) for a geometry-optimized TbSm6Dy6 structure.

Properties
- density (Mg/m³) = 7.6
- total magnetization (μB per formula unit) = 0.03
- space-group type = No. 191
- energy of formation from the pure elements (meV/atom) = 280.2

a = 6.699 Å, b = 6.699 Å, c = 11.384 Å
α = 90.00°, β = 90.00°, γ = 119.99°
Atoms (fractional coordinates):
Tb (0.000, 0.000, 0.000)
Sm (0.000, 0.000, 0.654)
Sm (0.000, 0.000, 0.346)
Sm (0.333, 0.667, 0.000)
Sm (0.667, 0.333, 0.000)
Sm (0.333, 0.667, 0.500)
Sm (0.667, 0.333, 0.500)
Dy (0.000, 0.500, 0.753)
Dy (0.500, 0.000, 0.753)
Dy (0.500, 0.500, 0.753)
Dy (0.500, 0.000, 0.247)
Dy (0.000, 0.500, 0.247)
Dy (0.500, 0.500, 0.247)



Density functional theory data (PBE) for a geometry-optimized Tb4Sm3Dy structure.

Properties
- density (Mg/m³) = 7.9
- total magnetization (μB per formula unit) = 0.00
- ΔE to the lowest computed polymorph (eV/atom) = 0.000
- space-group type = No. 31
- energy of formation from the pure elements (meV/atom) = 19.9

a = 6.313 Å, b = 7.306 Å, c = 11.448 Å
α = 90.00°, β = 90.00°, γ = 90.00°
Atoms (fractional coordinates):
Tb (0.148, 0.876, 0.000)
Tb (0.648, 0.123, 0.000)
Tb (0.981, 0.124, 0.249)
Tb (0.481, 0.876, 0.251)
Tb (0.148, 0.877, 0.500)
Tb (0.648, 0.124, 0.500)
Tb (0.481, 0.876, 0.749)
Tb (0.981, 0.124, 0.751)
Sm (0.648, 0.626, 0.000)
Sm (0.981, 0.626, 0.250)
Sm (0.481, 0.374, 0.250)
Sm (0.148, 0.374, 0.500)
Sm (0.481, 0.374, 0.750)
Sm (0.981, 0.626, 0.750)
Dy (0.148, 0.373, 0.000)
Dy (0.648, 0.627, 0.500)



Density functional theory data (PBE) for a geometry-optimized Tb8Sm5Dy structure.

Properties
- density (Mg/m³) = 7.7
- total magnetization (μB per formula unit) = 0.00
- space-group type = No. 82
- energy of formation from the pure elements (meV/atom) = 245.6

a = 8.480 Å, b = 8.480 Å, c = 8.480 Å
α = 110.95°, β = 106.56°, γ = 110.95°
Atoms (fractional coordinates):
Tb (0.167, 0.737, 0.076)
Tb (0.924, 0.091, 0.661)
Tb (0.729, 0.254, 0.334)
Tb (0.666, 0.395, 0.920)
Tb (0.525, 0.605, 0.271)
Tb (0.570, 0.909, 0.833)
Tb (0.339, 0.263, 0.430)
Tb (0.080, 0.746, 0.475)
Sm (0.032, 0.321, 0.135)
Sm (0.865, 0.897, 0.186)
Sm (0.814, 0.679, 0.711)
Sm (0.500, 0.000, 0.500)
Sm (0.289, 0.103, 0.968)
Dy (0.250, 0.500, 0.750)



Density functional theory data (PBE) for a geometry-optimized Tb6Sm8Dy structure.

Properties
- density (Mg/m³) = 7.7
- total magnetization (μB per formula unit) = 0.00
- ΔE to the lowest computed polymorph (eV/atom) = 0.000
- space-group type = No. 148
- energy of formation from the pure elements (meV/atom) = 122.4

a = 9.123 Å, b = 9.123 Å, c = 8.706 Å
α = 58.40°, β = 58.40°, γ = 60.00°
Atoms (fractional coordinates):
Tb (0.461, 0.900, 0.880)
Tb (0.100, 0.241, 0.120)
Tb (0.241, 0.539, 0.120)
Tb (0.759, 0.461, 0.880)
Tb (0.900, 0.759, 0.880)
Tb (0.539, 0.100, 0.120)
Sm (0.252, 0.281, 0.579)
Sm (0.719, 0.112, 0.421)
Sm (0.112, 0.748, 0.421)
Sm (0.577, 0.577, 0.268)
Sm (0.423, 0.423, 0.732)
Sm (0.888, 0.252, 0.579)
Sm (0.281, 0.888, 0.579)
Sm (0.748, 0.719, 0.421)
Dy (0.000, 0.000, 0.000)



Density functional theory data (PBE) for a geometry-optimized Tb2SmDy6 structure.

Properties
- density (Mg/m³) = 8.1
- total magnetization (μB per formula unit) = 0.00
- ΔE to the lowest computed polymorph (eV/atom) = 0.000
- space-group type = No. 12
- energy of formation from the pure elements (meV/atom) = 199.0

a = 3.452 Å, b = 6.002 Å, c = 17.325 Å
α = 116.38°, β = 84.29°, γ = 73.29°
Atoms (fractional coordinates):
Tb (0.834, 0.499, 0.834)
Tb (0.166, 0.501, 0.166)
Sm (0.500, 0.500, 0.500)
Dy (0.437, 0.190, 0.937)
Dy (0.563, 0.810, 0.063)
Dy (0.771, 0.189, 0.269)
Dy (0.103, 0.190, 0.604)
Dy (0.229, 0.811, 0.731)
Dy (0.897, 0.810, 0.396)



Density functional theory data (PBE) for a geometry-optimized Tb6Sm12Dy structure.

Properties
- density (Mg/m³) = 7.4
- total magnetization (μB per formula unit) = 0.00
- ΔE to the lowest computed polymorph (eV/atom) = 0.097
- space-group type = No. 148
- energy of formation from the pure elements (meV/atom) = 238.1

a = 9.210 Å, b = 9.210 Å, c = 9.210 Å
α = 106.65°, β = 106.65°, γ = 106.65°
Atoms (fractional coordinates):
Tb (0.078, 0.191, 0.454)
Tb (0.809, 0.546, 0.922)
Tb (0.546, 0.922, 0.809)
Tb (0.922, 0.809, 0.546)
Tb (0.191, 0.454, 0.078)
Tb (0.454, 0.078, 0.191)
Sm (0.483, 0.191, 0.581)
Sm (0.191, 0.581, 0.483)
Sm (0.581, 0.483, 0.191)
Sm (0.517, 0.809, 0.419)
Sm (0.809, 0.419, 0.517)
Sm (0.419, 0.517, 0.809)
Sm (0.279, 0.134, 0.826)
Sm (0.174, 0.721, 0.866)
Sm (0.866, 0.174, 0.721)
Sm (0.721, 0.866, 0.174)
Sm (0.826, 0.279, 0.134)
Sm (0.134, 0.826, 0.279)
Dy (0.000, 0.000, 0.000)



Density functional theory data (PBE) for a geometry-optimized TbSm7Dy2 structure.

Properties
- density (Mg/m³) = 6.3
- total magnetization (μB per formula unit) = 0.00
- ΔE to the lowest computed polymorph (eV/atom) = 0.650
- space-group type = No. 65
- energy of formation from the pure elements (meV/atom) = 661.2

a = 5.560 Å, b = 9.398 Å, c = 9.398 Å
α = 124.34°, β = 90.00°, γ = 90.00°
Atoms (fractional coordinates):
Tb (0.000, 0.000, 0.000)
Sm (0.000, 0.788, 0.212)
Sm (0.000, 0.212, 0.788)
Sm (0.500, 0.066, 0.290)
Sm (0.500, 0.934, 0.710)
Sm (0.500, 0.290, 0.066)
Sm (0.500, 0.710, 0.934)
Sm (0.500, 0.500, 0.500)
Dy (0.500, 0.705, 0.295)
Dy (0.500, 0.295, 0.705)